--- a ---
# LiHfHg3S4

A geometry-optimized LiHfHg3S4 structure (PBE-GGA, the Open Quantum Materials Database).

The structure in CIF format:
```
data_LiHfHg3S4
_symmetry_space_group_name_H-M 'P 1 21/m 1'
_symmetry_Int_Tables_number 11
_cell_length_a 7.1301
_cell_length_b 7.6134
_cell_length_c 10.1725
_cell_angle_alpha 90.00
_cell_angle_beta 107.88
_cell_angle_gamma 90.00
loop_
_symmetry_equiv_pos_as_xyz
'x,y,z'
'-x,-y,-z'
'-x,y+1/2,-z'
'x,-y+1/2,z'
loop_
_atom_site_label
_atom_site_type_symbol
_atom_site_fract_x
_atom_site_fract_y
_atom_site_fract_z
_atom_site_occupancy
Li1 Li 0.0000 0.2500 0.0499 1
Hf1 Hf 0.2658 0.7500 0.2554 1
Hg1 Hg 0.1909 0.0434 0.4876 1
Hg2 Hg 0.2137 0.2500 0.7345 1
S1 S 0.0368 0.5120 0.1911 1
S2 S 0.4210 0.7500 0.5053 1
S3 S 0.4488 0.7500 0.0966 1
```

--- b ---
# LiHfHg3S4

A geometry-optimized LiHfHg3S4 structure (PBE-GGA, the Open Quantum Materials Database).

The structure in CIF format:
```
data_LiHfHg3S4
_symmetry_space_group_name_H-M 'P -4 3 m'
_symmetry_Int_Tables_number 215
_symmetry_space_group_name_Hall 'P -4 2 3'
_cell_length_a 6.6689
_cell_length_b 6.6689
_cell_length_c 6.6689
_cell_angle_alpha 90.00
_cell_angle_beta 90.00
_cell_angle_gamma 90.00
loop_
_atom_site_label
_atom_site_type_symbol
_atom_site_fract_x
_atom_site_fract_y
_atom_site_fract_z
_atom_site_occupancy
Li1 Li 0.0000 0.0000 0.0000 1
Hf1 Hf 0.5000 0.5000 0.5000 1
Hg1 Hg 0.0000 0.5000 0.5000 1
S1 S 0.2884 0.2884 0.2884 1
```

How far above the most stable structure does each one sit? In meV per atom: a 0; b 224.

--- a ---
# LiHfHg3Te4

A geometry-optimized LiHfHg3Te4 structure (PBE-GGA, the Open Quantum Materials Database).

The structure in CIF format:
```
data_LiHfHg3Te4
_symmetry_space_group_name_H-M 'P -4 3 m'
_symmetry_Int_Tables_number 215
_symmetry_space_group_name_Hall 'P -4 2 3'
_cell_length_a 7.1868
_cell_length_b 7.1868
_cell_length_c 7.1868
_cell_angle_alpha 90.00
_cell_angle_beta 90.00
_cell_angle_gamma 90.00
loop_
_atom_site_label
_atom_site_type_symbol
_atom_site_fract_x
_atom_site_fract_y
_atom_site_fract_z
_atom_site_occupancy
Li1 Li 0.0000 0.0000 0.0000 1
Hf1 Hf 0.5000 0.5000 0.5000 1
Hg1 Hg 0.0000 0.5000 0.5000 1
Te1 Te 0.2755 0.2755 0.2755 1
```

--- b ---
# LiHfHg3Te4

A geometry-optimized LiHfHg3Te4 structure (PBE-GGA, the Open Quantum Materials Database).

The structure in CIF format:
```
data_LiHfHg3Te4
_symmetry_space_group_name_H-M 'P 1 21/m 1'
_symmetry_Int_Tables_number 11
_cell_length_a 7.7288
_cell_length_b 8.3973
_cell_length_c 10.0639
_cell_angle_alpha 90.00
_cell_angle_beta 101.50
_cell_angle_gamma 90.00
loop_
_symmetry_equiv_pos_as_xyz
'x,y,z'
'-x,-y,-z'
'-x,y+1/2,-z'
'x,-y+1/2,z'
loop_
_atom_site_label
_atom_site_type_symbol
_atom_site_fract_x
_atom_site_fract_y
_atom_site_fract_z
_atom_site_occupancy
Li1 Li 0.1601 0.2500 0.3336 1
Hf1 Hf 0.1945 0.7500 0.2477 1
Hg1 Hg 0.3159 0.2500 0.8216 1
Hg2 Hg 0.3229 0.0214 0.0335 1
Te1 Te 0.0450 0.2500 0.5869 1
Te2 Te 0.0678 0.7500 0.9647 1
Te3 Te 0.4145 0.0034 0.3269 1
```

How far above the most stable structure does each one sit? In meV per atom: a 159; b 0.

--- a ---
# HfMgHgPd

A geometry-optimized HfMgHgPd structure (PBE-GGA, the Open Quantum Materials Database).

The structure in CIF format:
```
data_HfMgHgPd
_symmetry_space_group_name_H-M 'F -4 3 m'
_symmetry_Int_Tables_number 216
_symmetry_space_group_name_Hall 'F -4 2 3'
_cell_length_a 6.7060
_cell_length_b 6.7060
_cell_length_c 6.7060
_cell_angle_alpha 90.00
_cell_angle_beta 90.00
_cell_angle_gamma 90.00
loop_
_atom_site_label
_atom_site_type_symbol
_atom_site_fract_x
_atom_site_fract_y
_atom_site_fract_z
_atom_site_occupancy
Hf1 Hf 0.0000 0.0000 0.0000 1
Mg1 Mg 0.0000 0.0000 0.5000 1
Hg1 Hg 0.2500 0.2500 0.2500 1
Pd1 Pd 0.2500 0.2500 0.7500 1
```

--- b ---
# HfMgHgPd

A geometry-optimized HfMgHgPd structure (PBE-GGA, the Open Quantum Materials Database).

The structure in CIF format:
```
data_HfMgHgPd
_symmetry_space_group_name_H-M 'F -4 3 m'
_symmetry_Int_Tables_number 216
_symmetry_space_group_name_Hall 'F -4 2 3'
_cell_length_a 6.6413
_cell_length_b 6.6413
_cell_length_c 6.6413
_cell_angle_alpha 90.00
_cell_angle_beta 90.00
_cell_angle_gamma 90.00
loop_
_atom_site_label
_atom_site_type_symbol
_atom_site_fract_x
_atom_site_fract_y
_atom_site_fract_z
_atom_site_occupancy
Hf1 Hf 0.0000 0.0000 0.0000 1
Mg1 Mg 0.2500 0.2500 0.7500 1
Hg1 Hg 0.0000 0.0000 0.5000 1
Pd1 Pd 0.2500 0.2500 0.2500 1
```

How far above the most stable structure does each one sit? In meV per atom: a 0; b 160.